1.
The following is a DFT calculation (PBE) of crystalline TbSmTeP at its relaxed geometry.

Summary:
- Density of states at the Fermi level: 2.73 states/eV per cell
- M_tot: 0.0 Bohr magnetons per cell
- Formation energy from raw total energies: -1.5454 eV/atom
- Volume: 108.1 Å³/cell

Unit cell a=4.1271 b=4.1274 c=7.7064 alpha=90.00 beta=105.53 gamma=120.00
Closest atoms and distances in Å follow each position.
Positions (direct):
Sm  0.4954  0.1456  0.6562  3 P 2.88, 3 Te 3.22
Tb  0.1088  0.9523  0.0765  3 P 2.80
Te  0.9648  0.3805  0.3603  3 Tb 3.16, 3 Sm 3.22
P  0.3089  0.5524  0.8766  3 Tb 2.80, 3 Sm 2.88

***

2.
The following is a DFT calculation (PBE) of crystalline LaPm3Al at its relaxed geometry.

Summary:
- Density of states at the Fermi level: 14.35 states/eV per cell
- M_tot: 0.0 Bohr magnetons per cell
- Calculated formation energy: -116.5 meV per atom
- Polymorph energy (0 for the lowest one): 0 meV per atom
- Volume: 317.1 Å³/cell

Unit cell a=3.7081 b=6.9861 c=12.7402 alpha=85.33 beta=90.01 gamma=74.65
Closest atoms and distances in Å follow each position.
Positions (direct):
Pm  0.9690  0.0628  0.8011  2 Al 3.27, 3 Pm 3.41-3.60, 1 La 3.50
Pm  0.1432  0.7139  0.4494  4 Al 3.16-3.19, 1 Pm 3.41
Al  0.5451  0.9097  0.6129  1 Al 3.03, 6 Pm 3.16-3.27, 2 La 3.33
Pm  0.8568  0.2861  0.5506  4 Al 3.16-3.19, 1 Pm 3.41
Al  0.4549  0.0903  0.3871  1 Al 3.03, 6 Pm 3.16-3.27, 2 La 3.33
La  0.7816  0.4373  0.2539  2 Al 3.33, 3 Pm 3.50-3.73, 2 La 3.71
La  0.2184  0.5627  0.7461  2 Al 3.33, 3 Pm 3.50-3.73, 2 La 3.71
Pm  0.6344  0.7304  0.9830  9 Pm 3.60-3.71, 3 La 3.79-3.83
Pm  0.0310  0.9372  0.1989  2 Al 3.27, 3 Pm 3.41-3.60, 1 La 3.50
Pm  0.3656  0.2696  0.0170  9 Pm 3.60-3.71, 3 La 3.79-3.83

***

3.
The following is a DFT calculation (PBE) of crystalline Tb3Pm6Dy at its relaxed geometry.

Summary:
- Density of states at the Fermi level: 27.42 states/eV per cell
- M_tot: 0.0 Bohr magnetons per cell
- Calculated formation energy: 142.2 meV per atom
- Polymorph energy (0 for the lowest one): 19 meV per atom
- Volume: 673.0 Å³/cell

Unit cell a=6.3667 b=11.0840 c=11.0840 alpha=120.64 beta=90.00 gamma=90.00
Closest atoms and distances in Å follow each position.
Positions (direct):
Pm  0.3808  0.9631  0.0369  1 Dy 3.41, 4 Pm 3.49-3.79, 4 Tb 3.52-3.58
Tb  0.9639  0.7141  0.9441  1 Dy 3.29, 6 Pm 3.31-3.58, 1 Tb 3.69
Tb  0.4639  0.2859  0.0559  1 Dy 3.29, 6 Pm 3.31-3.58, 1 Tb 3.69
Tb  0.0809  0.3851  0.6149  7 Pm 3.43-3.78, 1 Dy 3.65, 2 Tb 3.69
Pm  0.8657  0.9435  0.5245  3 Pm 3.14-3.50, 2 Tb 3.31-3.51, 1 Dy 3.34
Pm  0.0502  0.3734  0.2891  4 Tb 3.46-3.78, 5 Pm 3.50-3.79
Pm  0.3657  0.5245  0.9435  3 Pm 3.14-3.50, 2 Tb 3.31-3.51, 1 Dy 3.34
Tb  0.4639  0.9441  0.7141  1 Dy 3.29, 6 Pm 3.31-3.58, 1 Tb 3.69
Pm  0.3657  0.0565  0.4755  3 Pm 3.14-3.50, 2 Tb 3.31-3.51, 1 Dy 3.34
Pm  0.0502  0.7109  0.6266  4 Tb 3.46-3.78, 5 Pm 3.50-3.79
Pm  0.6481  0.2788  0.7212  4 Pm 3.14-3.50, 1 Dy 3.38, 1 Tb 3.43
Pm  0.8808  0.0369  0.9631  1 Dy 3.41, 4 Pm 3.49-3.79, 4 Tb 3.52-3.58
Tb  0.5809  0.6149  0.3851  7 Pm 3.43-3.78, 1 Dy 3.65, 2 Tb 3.69
Dy  0.6159  0.8042  0.1958  3 Tb 3.29-3.65, 6 Pm 3.34-3.53
Pm  0.5502  0.6266  0.7109  4 Tb 3.46-3.78, 5 Pm 3.50-3.79
Tb  0.9639  0.0559  0.2859  1 Dy 3.29, 6 Pm 3.31-3.58, 1 Tb 3.69
Dy  0.1159  0.1958  0.8042  3 Tb 3.29-3.65, 6 Pm 3.34-3.53
Pm  0.5502  0.2891  0.3734  4 Tb 3.46-3.78, 5 Pm 3.50-3.79
Pm  0.1481  0.7212  0.2788  4 Pm 3.14-3.50, 1 Dy 3.38, 1 Tb 3.43
Pm  0.8657  0.4755  0.0565  3 Pm 3.14-3.50, 2 Tb 3.31-3.51, 1 Dy 3.34

***

4.
The following is a DFT calculation (PBE) of crystalline Hf8Al3Sb2 at its relaxed geometry.

Summary:
- Density of states at the Fermi level: 15.25 states/eV per cell
- M_tot: 0.0 Bohr magnetons per cell
- Formation energy from raw total energies: -0.0436 eV/atom
- Volume: 293.1 Å³/cell

Unit cell a=5.6597 b=8.0242 c=7.7550 alpha=121.16 beta=78.52 gamma=90.00
Closest atoms and distances in Å follow each position.
Positions (direct):
Sb  0.2772  0.2280  0.4561  7 Hf 2.87-3.07, 1 Al 3.00
Al  0.5000  0.0000  0.0000  4 Hf 2.91, 2 Sb 3.00, 4 Al 3.17
Hf  0.7966  0.1915  0.3830  2 Sb 2.87, 2 Al 2.91, 3 Hf 3.18-3.20
Sb  0.7228  0.7720  0.5439  7 Hf 2.87-3.07, 1 Al 3.00
Hf  0.5314  0.4197  0.2270  2 Al 2.91, 5 Hf 2.98-3.21, 2 Sb 3.01-3.07
Al  0.0000  0.8209  0.0000  3 Al 2.87-3.17, 6 Hf 2.90-2.91
Hf  0.2034  0.8085  0.6170  2 Sb 2.87, 2 Al 2.91, 3 Hf 3.18-3.20
Hf  0.4686  0.5803  0.7730  2 Al 2.91, 5 Hf 2.98-3.21, 2 Sb 3.01-3.07
Hf  0.8939  0.4196  0.8392  3 Hf 2.68-2.98, 2 Al 2.90, 1 Sb 2.93
Hf  0.5314  0.8073  0.2270  2 Al 2.91, 5 Hf 2.98-3.21, 2 Sb 3.01-3.07
Hf  0.1061  0.5804  0.1608  3 Hf 2.68-2.98, 2 Al 2.90, 1 Sb 2.93
Al  0.0000  0.1791  0.0000  3 Al 2.87-3.17, 6 Hf 2.90-2.91
Hf  0.4686  0.1927  0.7730  2 Al 2.91, 5 Hf 2.98-3.21, 2 Sb 3.01-3.07

***

What did the fourth record say?
The following is a DFT calculation (PBE) of crystalline Hf8Al3Sb2 at its relaxed geometry.

Summary:
- Density of states at the Fermi level: 15.25 states/eV per cell
- M_tot: 0.0 Bohr magnetons per cell
- Formation energy from raw total energies: -0.0436 eV/atom
- Volume: 293.1 Å³/cell

Unit cell a=5.6597 b=8.0242 c=7.7550 alpha=121.16 beta=78.52 gamma=90.00
Closest atoms and distances in Å follow each position.
Positions (direct):
Sb  0.2772  0.2280  0.4561  7 Hf 2.87-3.07, 1 Al 3.00
Al  0.5000  0.0000  0.0000  4 Hf 2.91, 2 Sb 3.00, 4 Al 3.17
Hf  0.7966  0.1915  0.3830  2 Sb 2.87, 2 Al 2.91, 3 Hf 3.18-3.20
Sb  0.7228  0.7720  0.5439  7 Hf 2.87-3.07, 1 Al 3.00
Hf  0.5314  0.4197  0.2270  2 Al 2.91, 5 Hf 2.98-3.21, 2 Sb 3.01-3.07
Al  0.0000  0.8209  0.0000  3 Al 2.87-3.17, 6 Hf 2.90-2.91
Hf  0.2034  0.8085  0.6170  2 Sb 2.87, 2 Al 2.91, 3 Hf 3.18-3.20
Hf  0.4686  0.5803  0.7730  2 Al 2.91, 5 Hf 2.98-3.21, 2 Sb 3.01-3.07
Hf  0.8939  0.4196  0.8392  3 Hf 2.68-2.98, 2 Al 2.90, 1 Sb 2.93
Hf  0.5314  0.8073  0.2270  2 Al 2.91, 5 Hf 2.98-3.21, 2 Sb 3.01-3.07
Hf  0.1061  0.5804  0.1608  3 Hf 2.68-2.98, 2 Al 2.90, 1 Sb 2.93
Al  0.0000  0.1791  0.0000  3 Al 2.87-3.17, 6 Hf 2.90-2.91
Hf  0.4686  0.1927  0.7730  2 Al 2.91, 5 Hf 2.98-3.21, 2 Sb 3.01-3.07